Entry 1:
DFT (PBE) results for a relaxed DyCd3In crystal.

Lattice parameters (Å, degrees): 8.115 6.459 9.887 124.86 127.25 37.31
Positions (direct):
Dy: 0.200 0.424 0.401
Dy: 0.800 0.576 0.599
Cd: 0.377 0.876 0.754
Cd: 0.827 0.101 0.656
Cd: 0.173 0.899 0.344
Cd: 0.623 0.124 0.246
Cd: 0.000 0.000 0.000
Cd: 0.000 0.500 0.000
In: 0.397 0.368 0.793
In: 0.603 0.632 0.207

Computed properties:
Symmetry: No. 2
ΔE_f: -0.21 eV/atom
Offset from the most stable computed form: 0.000 eV/atom


Entry 2:
DFT (PBE) results for a relaxed TlCdAg crystal.

Lattice parameters (Å, degrees): 4.978 4.978 3.405 90.00 90.00 120.00
Positions (direct):
Tl: 0.333 0.667 0.667
Ag: 0.000 0.000 0.163
Cd: 0.667 0.333 0.170

Computed properties:
Symmetry: No. 156
ΔE_f: 0.11 eV/atom
Offset from the most stable computed form: 0.037 eV/atom


Entry 3:
DFT (PBE) results for a relaxed Sr2LiBe crystal.

Lattice parameters (Å, degrees): 3.855 3.855 8.449 90.00 90.00 90.00
Positions (direct):
Be: 0.500 0.500 0.250
Li: 0.500 0.500 0.750
Sr: 0.000 0.000 0.035
Sr: 0.000 0.000 0.465

Computed properties:
Symmetry: No. 123
ΔE_f: 0.27 eV/atom


Entry 4:
DFT (PBE) results for a relaxed TaIn2Sb crystal.

Lattice parameters (Å, degrees): 5.265 3.203 5.918 68.68 90.00 90.00
Positions (direct):
In: 0.000 0.867 0.985
In: 0.000 0.633 0.515
Sb: 0.500 0.250 0.250
Ta: 0.500 0.750 0.750

Computed properties:
Symmetry: No. 10
Formation energy from raw total energies: 379 meV per atom


Entry 5:
DFT (PBE) results for a relaxed Pr5Er4Zn crystal.

Lattice parameters (Å, degrees): 3.666 3.666 23.703 90.00 90.00 90.00
Positions (direct):
Pr: 0.500 0.500 0.079
Pr: 0.500 0.500 0.290
Pr: 0.500 0.500 0.500
Pr: 0.500 0.500 0.710
Pr: 0.500 0.500 0.921
Er: 0.000 0.000 0.186
Er: 0.000 0.000 0.395
Er: 0.000 0.000 0.605
Er: 0.000 0.000 0.814
Zn: 0.000 0.000 0.000

Computed properties:
Symmetry: No. 123
ΔE_f: -0.04 eV/atom


Entry 6:
DFT (PBE) results for a relaxed CuH4Ir crystal.

Lattice parameters (Å, degrees): 4.649 5.135 5.668 104.20 100.42 120.41
Positions (direct):
Cu: 0.448 0.698 0.396
Cu: 0.552 0.302 0.604
H: 0.027 0.684 0.889
H: 0.362 0.205 0.889
H: 0.685 0.504 0.384
H: 0.315 0.496 0.616
H: 0.801 0.120 0.616
H: 0.638 0.795 0.111
H: 0.199 0.880 0.384
H: 0.973 0.316 0.111
Ir: 0.817 0.567 0.133
Ir: 0.183 0.433 0.867

Computed properties:
Symmetry: No. 15
Electronic total energy: -4.282 eV/atom


Entry 7:
DFT (PBE) results for a relaxed ReMoW2 crystal.

Lattice parameters (Å, degrees): 9.508 9.508 9.508 16.97 16.97 16.97
Positions (direct):
Mo: 0.503 0.503 0.503
Re: 0.249 0.249 0.249
W: 0.997 0.997 0.997
W: 0.750 0.750 0.750

Computed properties:
Symmetry: No. 160
ΔE_f: 0.32 eV/atom
Offset from the most stable computed form: 0.313 eV/atom


Entry 8:
DFT (PBE) results for a relaxed LaTaSb2 crystal.

Lattice parameters (Å, degrees): 3.157 3.157 11.270 90.00 90.00 95.82
Positions (direct):
La: 0.500 0.500 0.727
Sb: 0.000 0.000 0.966
Sb: 0.500 0.500 0.310
Ta: 0.000 0.000 0.497

Computed properties:
Symmetry: No. 35
Formation energy from raw total energies: 93 meV per atom
Offset from the most stable computed form: 0.496 eV/atom


Entry 9:
DFT (PBE) results for a relaxed TcTeRu2 crystal.

Lattice parameters (Å, degrees): 2.968 2.968 7.316 90.00 90.00 90.00
Positions (direct):
Ru: 0.000 0.000 0.016
Ru: 0.000 0.000 0.484
Tc: 0.500 0.500 0.250
Te: 0.500 0.500 0.750

Computed properties:
Symmetry: No. 123
Formation energy from raw total energies: 360 meV per atom


Entry 10:
DFT (PBE) results for a relaxed TiV3W6 crystal.

Lattice parameters (Å, degrees): 2.734 12.987 9.218 102.63 84.38 90.02
Positions (direct):
Ti: 0.735 0.628 0.870
Ti: 0.265 0.372 0.130
V: 0.856 0.406 0.423
V: 0.144 0.594 0.577
V: 0.855 0.736 0.436
V: 0.145 0.264 0.564
V: 0.712 0.976 0.861
V: 0.288 0.024 0.139
W: 0.858 0.074 0.424
W: 0.142 0.926 0.576
W: 0.999 0.168 0.997
W: 0.001 0.832 0.003
W: 0.423 0.781 0.719
W: 0.577 0.219 0.281
W: 0.599 0.551 0.300
W: 0.401 0.449 0.700
W: 0.744 0.313 0.846
W: 0.256 0.687 0.154
W: 0.569 0.881 0.289
W: 0.431 0.119 0.711

Computed properties:
Symmetry: No. 2
ΔE_f: 0.07 eV/atom


Entry 11:
DFT (PBE) results for a relaxed BaPPd2Pt2 crystal.

Lattice parameters (Å, degrees): 4.632 4.632 6.013 90.00 90.00 90.00
Positions (direct):
Ba: 0.000 0.000 0.500
P: 0.000 0.000 0.000
Pd: 0.500 0.500 0.746
Pd: 0.500 0.500 0.254
Pt: 0.500 0.000 0.000
Pt: 0.000 0.500 0.000

Computed properties:
Symmetry: No. 123
ΔE_f: -0.33 eV/atom


Entry 12:
DFT (PBE) results for a relaxed Sm2HoPt crystal.

Lattice parameters (Å, degrees): 3.837 6.326 9.793 90.00 90.00 107.63
Positions (direct):
Sm: 0.136 0.273 0.436
Sm: 0.864 0.727 0.564
Sm: 0.864 0.727 0.936
Sm: 0.136 0.273 0.064
Ho: 0.422 0.844 0.250
Ho: 0.578 0.156 0.750
Pt: 0.740 0.480 0.250
Pt: 0.260 0.520 0.750

Computed properties:
Symmetry: No. 63
ΔE_f: -0.63 eV/atom
Offset from the most stable computed form: 0.039 eV/atom


Entry 13:
DFT (PBE) results for a relaxed K3Ac2NdTe6 crystal.

Lattice parameters (Å, degrees): 4.768 9.951 11.025 106.13 102.49 90.00
Positions (direct):
K: 0.500 0.500 0.000
K: 0.833 0.167 0.665
K: 0.167 0.833 0.335
Ac: 0.835 0.670 0.671
Ac: 0.165 0.330 0.329
Nd: 0.500 0.000 0.000
Te: 0.344 0.909 0.688
Te: 0.673 0.569 0.345
Te: 0.656 0.091 0.312
Te: 0.004 0.223 0.007
Te: 0.996 0.777 0.993
Te: 0.327 0.431 0.655

Computed properties:
Symmetry: No. 12
Formation energy from raw total energies: -1466 meV per atom


Entry 14:
DFT (PBE) results for a relaxed SrMgZn11 crystal.

Lattice parameters (Å, degrees): 5.396 7.001 6.987 81.36 67.29 67.10
Positions (direct):
Sr: 0.000 0.000 0.000
Mg: 0.500 0.500 0.000
Zn: 0.267 0.221 0.230
Zn: 0.733 0.779 0.770
Zn: 0.503 0.779 0.230
Zn: 0.497 0.221 0.770
Zn: 0.346 0.645 0.639
Zn: 0.654 0.355 0.361
Zn: 0.016 0.355 0.639
Zn: 0.984 0.645 0.361
Zn: 0.000 0.500 0.000
Zn: 0.500 0.000 0.500
Zn: 0.000 0.000 0.500

Computed properties:
Symmetry: No. 12
ΔE_f: -0.11 eV/atom


Entry 15:
DFT (PBE) results for a relaxed Ac5InGe2 crystal.

Lattice parameters (Å, degrees): 4.524 9.430 9.430 49.68 76.12 76.12
Positions (direct):
Ac: 0.000 0.500 0.500
Ac: 0.644 0.628 0.084
Ac: 0.356 0.372 0.916
Ac: 0.356 0.916 0.372
Ac: 0.644 0.084 0.628
In: 0.000 0.000 0.000
Ge: 0.806 0.694 0.694
Ge: 0.194 0.306 0.306

Computed properties:
Symmetry: No. 71
ΔE_f: -0.45 eV/atom
Offset from the most stable computed form: 0.070 eV/atom


Entry 16:
DFT (PBE) results for a relaxed LiPm12Rh7 crystal.

Lattice parameters (Å, degrees): 9.054 9.054 9.054 110.46 110.46 110.46
Positions (direct):
Li: 0.000 0.000 0.000
Pm: 0.884 0.340 0.738
Pm: 0.660 0.262 0.116
Pm: 0.398 0.114 0.317
Pm: 0.886 0.683 0.602
Pm: 0.262 0.116 0.660
Pm: 0.683 0.602 0.886
Pm: 0.317 0.398 0.114
Pm: 0.738 0.884 0.340
Pm: 0.114 0.317 0.398
Pm: 0.602 0.886 0.683
Pm: 0.340 0.738 0.884
Pm: 0.116 0.660 0.262
Rh: 0.062 0.727 0.965
Rh: 0.273 0.035 0.938
Rh: 0.035 0.938 0.273
Rh: 0.500 0.500 0.500
Rh: 0.965 0.062 0.727
Rh: 0.727 0.965 0.062
Rh: 0.938 0.273 0.035

Computed properties:
Symmetry: No. 148
ΔE_f: -0.50 eV/atom


Entry 17:
DFT (PBE) results for a relaxed YErThCo crystal.

Lattice parameters (Å, degrees): 3.720 3.718 9.219 89.99 89.98 60.06
Site moments in Bohr magnetons follow the coordinates.
Positions (direct):
Y: 0.644 0.509 0.949  0.04
Er: 0.979 0.843 0.641  0.32
Th: 0.644 0.509 0.323  0.03
Co: 0.978 0.843 0.150  0.06

Computed properties:
Symmetry: No. 8
ΔE_f: 0.02 eV/atom


Entry 18:
DFT (PBE) results for a relaxed Ba2ErGeS5 crystal.

Lattice parameters (Å, degrees): 4.293 9.240 12.721 90.00 90.00 103.43
Positions (direct):
Ba: 0.873 0.745 0.827
Ba: 0.120 0.240 0.686
Ba: 0.127 0.255 0.327
Ba: 0.880 0.760 0.186
Er: 0.796 0.592 0.527
Er: 0.204 0.408 0.027
Ge: 0.556 0.112 0.939
Ge: 0.444 0.888 0.439
S: 0.348 0.696 0.008
S: 0.683 0.365 0.880
S: 0.501 0.001 0.778
S: 0.299 0.597 0.661
S: 0.955 0.910 0.517
S: 0.652 0.304 0.508
S: 0.317 0.635 0.380
S: 0.499 0.999 0.278
S: 0.701 0.403 0.161
S: 0.045 0.090 0.017

Computed properties:
Symmetry: No. 36
Formation energy from raw total energies: -1626 meV per atom


Entry 19:
DFT (PBE) results for a relaxed Sm3LuCo crystal.

Lattice parameters (Å, degrees): 5.355 5.355 5.355 90.00 90.00 90.00
Positions (direct):
Lu: 0.500 0.500 0.500
Co: 0.000 0.000 0.000
Sm: 0.000 0.500 0.000
Sm: 0.000 0.000 0.500
Sm: 0.500 0.000 0.000

Computed properties:
Symmetry: No. 221
ΔE_f: 0.09 eV/atom


Entry 20:
DFT (PBE) results for a relaxed NaPaTe4 crystal.

Lattice parameters (Å, degrees): 7.651 6.490 10.690 127.97 90.00 90.00
Positions (direct):
Na: 0.500 0.500 0.000
Na: 0.000 0.000 0.000
Pa: 0.000 0.500 0.500
Pa: 0.500 0.000 0.500
Te: 0.250 0.024 0.277
Te: 0.250 0.524 0.277
Te: 0.750 0.524 0.277
Te: 0.250 0.976 0.723
Te: 0.750 0.024 0.277
Te: 0.250 0.476 0.723
Te: 0.750 0.476 0.723
Te: 0.750 0.976 0.723

Computed properties:
Symmetry: No. 12
Formation energy from raw total energies: -659 meV per atom
Offset from the most stable computed form: 0.007 eV/atom


Entry 21:
DFT (PBE) results for a relaxed BaLa3I crystal.

Lattice parameters (Å, degrees): 6.119 6.119 6.119 90.00 90.00 90.00
Positions (direct):
I: 0.000 0.000 0.000
Ba: 0.500 0.500 0.500
La: 0.000 0.500 0.000
La: 0.000 0.000 0.500
La: 0.500 0.000 0.000

Computed properties:
Symmetry: No. 221
Formation energy from raw total energies: -127 meV per atom
Offset from the most stable computed form: 0.000 eV/atom


Entry 22:
DFT (PBE) results for a relaxed Tl6SbPb2 crystal.

Lattice parameters (Å, degrees): 5.902 7.955 8.776 115.22 96.44 50.30
Positions (direct):
Tl: 0.770 0.677 0.890
Tl: 0.566 0.326 0.784
Tl: 0.323 0.003 0.661
Tl: 0.434 0.674 0.216
Tl: 0.230 0.323 0.110
Tl: 0.677 0.997 0.339
Sb: 0.000 0.000 0.000
Pb: 0.119 0.662 0.566
Pb: 0.881 0.338 0.434

Computed properties:
Symmetry: No. 2
Formation energy from raw total energies: 7 meV per atom
Offset from the most stable computed form: 0.000 eV/atom